Entry 1:
Material: PmEr10Th4
Method: DFT, PBE
State: optimized geometry

Structure (POSCAR):
```
PmEr10Th4
1.0
-4.810 4.810 5.360
4.810 -4.810 5.360
4.810 4.810 -5.360
Pm Er Th
1 10 4
Direct
0.000 0.000 0.000 Pm
0.130 0.227 0.672 Er
0.227 0.555 0.097 Er
0.250 0.750 0.500 Er
0.445 0.542 0.672 Er
0.458 0.130 0.903 Er
0.542 0.870 0.097 Er
0.555 0.458 0.328 Er
0.750 0.250 0.500 Er
0.773 0.445 0.903 Er
0.870 0.773 0.328 Er
0.066 0.661 0.727 Th
0.339 0.066 0.405 Th
0.661 0.934 0.595 Th
0.934 0.339 0.273 Th
```

Computed properties:
Crystal system: tetragonal
Space-group type: I4/m
Formation energy from the elements (meV per atom): 386.6


Entry 2:
Material: K2SrTaIn
Method: DFT, PBE
State: optimized geometry

Structure (POSCAR):
```
K2SrTaIn
1.0
6.404 0.000 0.000
0.000 6.404 0.000
0.000 0.000 5.585
K Sr Ta In
2 1 1 1
Direct
0.000 0.500 0.000 K
0.500 0.000 0.000 K
0.000 0.000 0.500 Sr
0.500 0.500 0.500 Ta
0.500 0.500 0.000 In
```

Computed properties:
Crystal system: tetragonal
Space-group type: P4/mmm
Formation energy from the elements (meV per atom): 1003.7


Entry 3:
Material: Dy3Tm4Bi8
Method: DFT, PBE
State: optimized geometry

Structure (POSCAR):
```
Dy3Tm4Bi8
1.0
6.265 -6.268 0.000
6.265 6.268 0.000
-6.252 0.000 6.270
Dy Tm Bi
3 4 8
Direct
0.000 0.000 0.000 Dy
0.000 0.500 0.000 Dy
0.500 0.000 0.000 Dy
0.000 0.500 0.500 Tm
0.500 0.000 0.500 Tm
0.500 0.500 0.000 Tm
0.500 0.500 0.500 Tm
0.246 0.754 0.500 Bi
0.247 0.247 0.503 Bi
0.247 0.247 0.992 Bi
0.251 0.749 0.000 Bi
0.749 0.251 0.000 Bi
0.753 0.753 0.008 Bi
0.753 0.753 0.497 Bi
0.754 0.246 0.500 Bi
```

Computed properties:
Crystal system: monoclinic
Space-group type: C2/m
Formation energy from the elements (meV per atom): -639.4